# 1
A plane-wave DFT calculation with GGA-PBE was carried out for crystalline NaTlC at its relaxed geometry.

Structure (POSCAR):
```
NaTlC
1.0
9.070 0.000 0.000
0.000 6.998 0.000
0.000 0.000 8.301
Tl Na C
4 4 4
Direct
0.500 0.000 0.500 Tl
0.000 0.000 0.000 Tl
0.500 0.500 0.500 Tl
0.000 0.500 0.000 Tl
0.775 0.750 0.725 Na
0.725 0.250 0.225 Na
0.275 0.750 0.775 Na
0.225 0.250 0.275 Na
0.983 0.250 0.142 C
0.517 0.750 0.642 C
0.483 0.250 0.358 C
0.017 0.750 0.858 C
```

Properties
- ΔH_f (0 K) (eV per formula unit) = 3.376
- space group = No. 62

---

# 2
A plane-wave DFT calculation with GGA-PBE was carried out for crystalline PrNd2NpS4 at its relaxed geometry.

Structure (POSCAR):
```
PrNd2NpS4
1.0
4.033 0.000 0.000
0.000 7.012 0.131
0.000 -2.440 6.563
Nd Np S Pr
2 1 4 1
Direct
0.500 0.000 0.500 Nd
0.000 0.500 0.500 Nd
0.500 0.500 0.000 Np
0.000 0.740 0.241 S
0.500 0.256 0.248 S
0.500 0.744 0.752 S
0.000 0.260 0.759 S
0.000 0.000 0.000 Pr
```

Properties
- space group = No. 10
- total energy (eV for the cell shown) = -58.58

---

# 3
A plane-wave DFT calculation with GGA-PBE was carried out for crystalline KAg5 at its relaxed geometry.

Structure (POSCAR):
```
KAg5
1.0
-2.278 -1.100 5.089
3.142 -2.457 4.049
1.624 2.997 4.548
Ag K
5 1
Direct
0.376 0.376 0.376 Ag
0.873 0.376 0.376 Ag
0.750 0.750 0.750 Ag
0.376 0.873 0.376 Ag
0.376 0.376 0.873 Ag
0.000 0.000 0.000 K
```

Properties
- ΔH_f (0 K) (eV per formula unit) = 0.415
- space group = No. 216

---

# 4
A plane-wave DFT calculation with GGA-PBE was carried out for crystalline Li2MgNb3N6 at its relaxed geometry.

Structure (POSCAR):
```
Li2MgNb3N6
1.0
-2.827 -1.216 0.309
0.010 -1.564 -6.062
4.078 -4.800 2.951
Nb N Mg Li
3 6 1 2
Direct
0.500 0.500 0.000 Nb
0.173 0.823 0.346 Nb
0.827 0.177 0.654 Nb
0.005 0.745 0.009 N
0.337 0.407 0.675 N
0.663 0.593 0.325 N
0.995 0.255 0.991 N
0.330 0.932 0.661 N
0.670 0.068 0.339 N
0.500 0.000 0.000 Mg
0.166 0.334 0.333 Li
0.834 0.666 0.667 Li
```

Properties
- space group = No. 12
- total energy (eV for the cell shown) = -96.58

---

Question: Number 2 is which compound?
Answer: PrNd2NpS4